Version A
TlHgGe | GGA-PBE | relaxed

The space group is P1 (No. 1) and the conventional cell measures 3.299, 6.595 and 8.079 Å, with angles of 70.87, 79.03 and 77.43 degrees. Symmetry generates all atoms from Tl at (0.000, 0.000, 0.000), Tl at (0.215, 0.390, 0.212), Hg at (0.491, 0.353, 0.643), Hg at (0.750, 0.651, 0.830), Ge at (0.434, 0.755, 0.362) and Ge at (0.765, 0.985, 0.498).

Its magnetic moment is 0.00 μB per formula unit. The calculation puts the density of states at the Fermi level at 0.8 states/eV/f.u.


Version B
TlHgGe | GGA-PBE | relaxed

The space group is P1 (No. 1) and the conventional cell measures 3.967, 4.698 and 8.662 Å, with angles of 96.86, 90.20 and 90.00 degrees. Symmetry generates all atoms from Tl at (0.000, 0.000, 0.000), Tl at (0.499, 0.420, 0.745), Hg at (0.500, 0.086, 0.360), Hg at (0.999, 0.885, 0.611), Ge at (0.003, 0.552, 0.307) and Ge at (0.502, 0.528, 0.113).

Its magnetic moment is 0.00 μB per formula unit. The calculation puts the density of states at the Fermi level at 1.0 states/eV/f.u.


Version C
TlHgGe | GGA-PBE | relaxed

The space group is P4/nmm (No. 129, origin choice 2) and the conventional cell measures 3.673, 3.673 and 11.374 Å, with angles of 90.00, 90.00 and 90.00 degrees. Symmetry generates all atoms from Tl at (0.250, 0.250, 0.108), Hg at (0.250, 0.250, 0.718) and Ge at (0.250, 0.250, 0.449).

Its magnetic moment is 0.00 μB per formula unit. The calculation puts the density of states at the Fermi level at 1.8 states/eV/f.u.


Version D
TlHgGe | GGA-PBE | relaxed

The space group is P-1 (No. 2) and the conventional cell measures 3.114, 5.990 and 8.904 Å, with angles of 106.19, 91.49 and 90.68 degrees. Symmetry generates all atoms from Tl at (0.040, 0.201, 0.201), Hg at (0.434, 0.270, 0.568) and Ge at (0.455, 0.303, 0.894).

Its magnetic moment is 0.00 μB per formula unit. The calculation puts the density of states at the Fermi level at 0.8 states/eV/f.u.


The structure with the greatest stability is version B.